This record from the Alexandria database describes crystalline PrNd2MoN4 at its relaxed geometry. The functional is GGA-PBE.

Results
calculated total energy = -8.268 eV per atom
total moment = 0.0 μB per formula unit
formation energy without anion corrections = -0.962 eV/atom

```
data_PrNd2MoN4
_space_group_name_H-M_alt 'C m c m'
_space_group_IT_number 63
_space_group_name_Hall '-C 2c 2'
_cell_length_a 3.5272
_cell_length_b 12.1344
_cell_length_c 12.3302
_cell_angle_alpha 90.00
_cell_angle_beta 90.00
_cell_angle_gamma 90.00
loop_
_atom_site_label
_atom_site_fract_x
_atom_site_fract_y
_atom_site_fract_z
Pr1 0.0000 0.0911 0.2500
Nd1 0.0000 0.3690 0.0400
Mo1 0.0000 0.1680 0.7500
N1 0.0000 0.0000 0.0000
N2 0.0000 0.2670 0.6302
N3 0.0000 0.4312 0.2500
```